A plane-wave DFT calculation with PBE with a Hubbard U was carried out for crystalline TlCoBrF2 at its relaxed geometry.

Unit cell a=6.3178 b=3.9523 c=9.2245 alpha=90.00 beta=96.31 gamma=90.00
Space group P2_1/m (No. 11)
Unique sites:
Tl1 0.2118 0.2500 0.4124 x2
Co1 0.4483 0.2500 0.8584 x2
Br1 0.0610 0.2500 0.8128 x2
F1 0.4620 0.2500 0.0900 x2
F2 0.4626 0.7500 0.3364 x2

Output
DFT total energy (eV per formula unit): -20.35
Density (g/cm³): 5.53